Entry 1:
DFT (PBE) results for a relaxed structure of Ti2In3Cl9.

POSCAR file:
```
Ti2In3Cl9
1.0
-7.910 -4.835 0.676
1.631 -3.741 8.351
-4.746 6.225 5.012
Ti In Cl
4 6 18
direct
0.334 0.334 0.334
0.166 0.166 0.166
0.666 0.666 0.666
0.834 0.834 0.834
0.129 0.371 0.750
0.750 0.129 0.371
0.871 0.629 0.250
0.250 0.871 0.629
0.371 0.750 0.129
0.629 0.250 0.871
0.931 0.258 0.097
0.410 0.090 0.250
0.597 0.758 0.431
0.242 0.569 0.403
0.569 0.403 0.242
0.750 0.590 0.910
0.590 0.910 0.750
0.758 0.431 0.597
0.097 0.931 0.258
0.258 0.097 0.931
0.090 0.250 0.410
0.742 0.903 0.069
0.250 0.410 0.090
0.431 0.597 0.758
0.403 0.242 0.569
0.910 0.750 0.590
0.903 0.069 0.742
0.069 0.742 0.903
```

The value obtained for the density of states at the Fermi level is 0.62 states/eV per atom. As for the space group: R-3c. The value obtained for the uncorrected formation energy is -1.2536 eV/atom. The value obtained for the polymorph energy (0 for the lowest one) is 0.297 eV per formula unit.

=====

Entry 2:
DFT (PBE) results for a relaxed structure of Ti3InCl.

POSCAR file:
```
Ti3InCl
1.0
5.236 0.000 0.000
0.000 5.236 0.000
0.000 0.000 5.236
Ti In Cl
3 1 1
direct
0.500 0.000 0.000
0.000 0.500 0.000
0.000 0.000 0.500
0.000 0.000 0.000
0.500 0.500 0.500
```

The value obtained for the density of states at the Fermi level is 0.79 states/eV per atom. As for the space group: Pm-3m. The value obtained for the uncorrected formation energy is 1.0685 eV/atom. The value obtained for the polymorph energy (0 for the lowest one) is 5.690 eV per formula unit.

=====

Entry 3:
DFT (PBE) results for a relaxed structure of TiIn2Cl2.

POSCAR file:
```
TiIn2Cl2
1.0
7.575 0.000 0.000
0.000 7.575 0.000
0.000 0.000 4.815
Ti In Cl
2 4 4
direct
0.500 0.500 0.000
0.000 0.000 0.000
0.854 0.646 0.000
0.646 0.146 0.000
0.354 0.854 0.000
0.146 0.354 0.000
0.305 0.195 0.500
0.195 0.695 0.500
0.805 0.305 0.500
0.695 0.805 0.500
```

The value obtained for the density of states at the Fermi level is 1.36 states/eV per atom. As for the space group: P4/mbm. The value obtained for the uncorrected formation energy is 0.0002 eV/atom. The value obtained for the polymorph energy (0 for the lowest one) is 0.000 eV per formula unit.

=====

Entry 4:
DFT (PBE) results for a relaxed structure of Ti3In2Cl9.

POSCAR file:
```
Ti3In2Cl9
1.0
-9.297 -2.024 0.901
1.630 -1.409 -9.661
4.270 -6.515 6.108
Ti Cl In
6 18 4
direct
0.366 0.137 0.137
0.649 0.234 0.055
0.351 0.766 0.945
0.649 0.055 0.234
0.634 0.863 0.863
0.351 0.945 0.766
0.172 0.896 0.502
0.514 0.187 0.396
0.193 0.886 0.083
0.486 0.604 0.813
0.807 0.917 0.114
0.790 0.727 0.727
0.828 0.498 0.104
0.514 0.396 0.187
0.486 0.813 0.604
0.172 0.502 0.896
0.210 0.273 0.273
0.500 0.198 0.802
0.193 0.083 0.886
0.828 0.104 0.498
0.170 0.690 0.690
0.807 0.114 0.917
0.500 0.802 0.198
0.830 0.310 0.310
0.176 0.232 0.557
0.176 0.557 0.232
0.824 0.768 0.443
0.824 0.443 0.768
```

The value obtained for the density of states at the Fermi level is 0.18 states/eV per atom. As for the space group: C2/m. The value obtained for the uncorrected formation energy is -1.3104 eV/atom.

=====

Entry 5:
DFT (PBE) results for a relaxed structure of TiIn3Cl7.

POSCAR file:
```
TiIn3Cl7
1.0
-5.565 -3.634 2.424
-1.880 -3.320 -5.958
1.428 -7.910 0.331
Cl In Ti
7 3 1
direct
0.064 0.692 0.193
0.330 0.963 0.739
0.517 0.517 0.574
0.846 0.846 0.854
0.692 0.064 0.193
0.963 0.330 0.739
0.175 0.175 0.083
0.802 0.216 0.482
0.511 0.511 0.937
0.216 0.802 0.482
0.010 0.010 0.974
```

As for the space group: Cm. The value obtained for the uncorrected formation energy is -1.1621 eV/atom.

=====

Entry 6:
DFT (PBE) results for a relaxed structure of TiInCl4.

POSCAR file:
```
TiInCl4
1.0
-5.448 0.134 -2.937
-2.317 -4.963 4.072
0.903 6.379 5.139
In Cl Ti
2 8 2
direct
0.204 0.250 0.000
0.796 0.750 0.000
0.139 0.171 0.396
0.707 0.451 0.206
0.861 0.829 0.604
0.499 0.951 0.206
0.501 0.049 0.794
0.293 0.549 0.794
0.257 0.671 0.396
0.743 0.329 0.604
0.000 0.500 0.500
0.500 0.000 0.500
```

The value obtained for the density of states at the Fermi level is 0.49 states/eV per atom. As for the space group: C2/c. The value obtained for the uncorrected formation energy is -1.2998 eV/atom. The value obtained for the polymorph energy (0 for the lowest one) is 0.148 eV per formula unit.